[1]
An optimized crystal structure of HRu2W, computed with GGA-PBEsol.

Computed properties:
VASP energy (eV/atom): -8.8185
Magnetic moment (μB/atom): 0.00

Lattice parameters (Å, degrees): 4.131 4.131 4.131 60.00 60.00 60.00
Fractional coordinates of all 4 atoms:
H 0.000 0.000 0.000
Ru 0.250 0.250 0.250
Ru 0.750 0.750 0.750
W 0.500 0.500 0.500



[2]
An optimized crystal structure of Tl2InSnF, computed with GGA-PBEsol.

Computed properties:
Energy relative to the elements, uncorrected (eV/atom): -0.321
VASP energy (eV/atom): -3.2066
Magnetic moment (μB/atom): 0.00

Lattice parameters (Å, degrees): 5.710 5.710 4.244 90.00 90.00 90.00
Fractional coordinates of all 5 atoms:
Tl 0.000 0.500 0.000
Tl 0.500 0.000 0.000
In 0.000 0.000 0.000
Sn 0.500 0.500 0.500
F 0.000 0.000 0.500



[3]
An optimized crystal structure of Mg2IrW, computed with GGA-PBEsol.

Computed properties:
Energy of formation from the pure elements (eV per formula unit): 0.96
VASP energy (eV/atom): -6.5262
Magnetic moment (μB/atom): 0.00

Lattice parameters (Å, degrees): 5.133 5.133 2.774 90.00 90.00 118.72
Fractional coordinates of all 4 atoms:
Mg 0.000 0.500 0.000
Mg 0.500 0.000 0.000
Ir 0.000 0.000 0.500
W 0.500 0.500 0.500